A plane-wave DFT calculation with PBE-GGA was carried out for an optimized crystal structure of KBOF2.

For the raw formation energy, the calculation gives 2.29 eV per formula unit. The calculation puts the energy at -14.18 eV/cell.

The space group is P4/mmm (No. 123) and the conventional cell measures 4.827, 4.827 and 4.906 Å, with angles of 90.00, 90.00 and 90.00 degrees. The distinct sites, in fractional coordinates, are K at (0.000, 0.000, 0.000), B at (0.500, 0.500, 0.500), O at (0.000, 0.000, 0.500) and F at (0.000, 0.500, 0.000).